Entry 1:
An optimized crystal structure of MgZnIn, computed with PBE-GGA.

```
MgZnIn
1.0
-1.934 -0.903 4.030
-0.393 -4.314 1.425
2.553 -1.497 3.470
Zn Mg In
1 1 1
Cartesian
0.169 -5.036 6.694 Zn
0.113 -3.357 4.462 Mg
0.000 0.000 0.000 In
```

Symmetry: F-43m, No. 216
Calculated volume, Å³ per atom: 22.4
Crystal system: cubic
Calculated total energy, eV per atom: -1.910
Formation energy, eV per atom: -0.041
M_tot, μB/f.u.: 0.0

Entry 2:
An optimized crystal structure of ZnCr2Cl, computed with PBE-GGA.

```
ZnCr2Cl
1.0
6.200 0.175 -0.077
3.859 4.856 0.077
-4.602 -3.370 2.438
Cr Zn Cl
2 1 1
Cartesian
10.009 5.006 0.000 Cr
1.368 1.613 1.257 Cr
5.336 2.669 0.000 Zn
3.833 -0.080 1.181 Cl
```

Symmetry: Imm2, No. 44
Polymorph energy (0 for the lowest one), eV per atom: 0.120
Calculated volume, Å³ per atom: 18.1
Crystal system: orthorhombic
Calculated total energy, eV per atom: -5.359
M_tot, μB/f.u.: 0.5

Entry 3:
An optimized crystal structure of ZrReRu2, computed with PBE-GGA.

```
ZrReRu2
1.0
-0.509 -3.077 -3.873
2.092 -3.635 -2.672
-1.801 -3.812 2.130
Re Ru Zr
1 2 1
Cartesian
0.066 -2.569 -1.335 Re
-0.053 -0.125 0.056 Ru
-0.178 -7.771 -3.223 Ru
-0.162 -5.321 -2.120 Zr
```

Symmetry: Cm, No. 8
Polymorph energy (0 for the lowest one), eV per atom: 0.049
Calculated volume, Å³ per atom: 16.1
Crystal system: monoclinic
Calculated total energy, eV per atom: -9.918
Formation energy, eV per atom: -0.031
M_tot, μB/f.u.: 0.0

Entry 4:
An optimized crystal structure of KBe2Os, computed with PBE-GGA.

```
KBe2Os
1.0
2.602 0.000 0.000
0.000 6.753 -0.001
0.000 3.599 3.361
Be K Os
2 1 1
Cartesian
0.000 0.000 0.000 Be
1.301 3.376 0.000 Be
1.301 5.176 1.680 K
0.000 1.800 1.680 Os
```

Symmetry: P2/m, No. 10
Polymorph energy (0 for the lowest one), eV per atom: 0.767
Calculated volume, Å³ per atom: 14.8
Crystal system: monoclinic
Calculated total energy, eV per atom: -3.863
Formation energy, eV per atom: 1.082
M_tot, μB/f.u.: 0.0

Entry 5:
An optimized crystal structure of Ca2AcH6, computed with PBE-GGA.

```
Ca2AcH6
1.0
5.173 0.000 2.987
1.724 4.877 2.987
0.000 0.000 5.973
H Ac Ca
6 1 2
Cartesian
2.692 3.509 4.662 H
4.206 1.368 4.662 H
2.692 3.509 7.284 H
4.206 1.368 7.284 H
4.962 3.509 5.973 H
1.935 1.368 5.973 H
0.000 0.000 0.000 Ac
5.173 3.658 8.960 Ca
1.724 1.219 2.987 Ca
```

Symmetry: Fm-3m, No. 225
Calculated volume, Å³ per atom: 16.7
Crystal system: cubic
Calculated total energy, eV per atom: -2.979
M_tot, μB/f.u.: 0.0

Entry 6:
An optimized crystal structure of BaAs3Au, computed with PBE-GGA.

```
BaAs3Au
1.0
5.188 0.000 0.000
0.000 5.188 0.000
0.000 0.000 5.188
As Au Ba
3 1 1
Cartesian
0.000 2.594 0.000 As
0.000 0.000 2.594 As
2.594 0.000 0.000 As
0.000 0.000 0.000 Au
2.594 2.594 2.594 Ba
```

Symmetry: Pm-3m, No. 221
Polymorph energy (0 for the lowest one), eV per atom: 0.389
Calculated volume, Å³ per atom: 27.9
Crystal system: cubic
Calculated total energy, eV per atom: -3.884
Formation energy, eV per atom: -0.054
M_tot, μB/f.u.: 0.0

Entry 7:
An optimized crystal structure of Hg5BiPb5, computed with PBE-GGA.

```
Hg5BiPb5
1.0
-1.634 5.343 -1.492
-1.287 -4.480 -3.423
-9.684 -1.425 5.504
Hg Bi Pb
5 1 5
Cartesian
-5.614 0.339 1.667 Hg
-2.582 -0.380 1.468 Hg
-7.050 0.763 -0.751 Hg
-6.417 2.966 0.933 Hg
-7.102 -1.045 4.037 Hg
-1.403 -1.206 -2.780 Bi
-2.974 1.854 -1.309 Pb
-9.747 0.858 2.541 Pb
-4.351 -1.639 -1.104 Pb
-8.138 -2.196 1.049 Pb
0.000 0.000 0.000 Pb
```

Symmetry: P-6m2, No. 187
Calculated volume, Å³ per atom: 29.6
Crystal system: hexagonal
Calculated total energy, eV per atom: -2.082
Formation energy, eV per atom: 0.094
M_tot, μB/f.u.: 0.0

Entry 8:
An optimized crystal structure of CuGeIr2, computed with PBE-GGA.

```
CuGeIr2
1.0
2.864 0.000 0.000
1.432 2.480 0.000
1.432 0.827 8.094
Ge Ir Cu
1 2 1
Cartesian
0.000 0.000 0.000 Ge
4.296 2.480 6.169 Ir
1.432 0.827 1.925 Ir
2.864 1.654 4.047 Cu
```

Symmetry: R-3m, No. 166
Calculated volume, Å³ per atom: 14.4
Crystal system: trigonal
Calculated total energy, eV per atom: -6.560
Formation energy, eV per atom: 0.049
M_tot, μB/f.u.: 0.0